LiCrPtS2 | GGA-PBE | optimized geometry

Properties
Density ... 6725 kg/m³
Space-group type ... P4/mmm, No. 123
Formation energy (no corrections) ... 0.631 eV/atom
Magnetic moment ... 0.7939 μB per atom

abc: 4.3161 4.2168 4.3161
angles: 90.00 90.00 90.00
Fractional positions:
Cr (0.0000, 0.5000, 0.0000)
S (0.0000, 0.0000, 0.5000)
S (0.5000, 0.0000, 0.0000)
Pt (0.5000, 0.5000, 0.5000)
Li (0.0000, 0.0000, 0.0000)


CuHgGe2O6 | GGA-PBE | optimized geometry

Properties
Density ... 5868 kg/m³
Space-group type ... C2/c, No. 15
Formation energy (no corrections) ... -1.077 eV/atom
Magnetic moment ... 0.1054 μB per atom

abc: 5.7976 7.3541 7.3541
angles: 83.90 72.80 72.80
Fractional positions:
O (0.0873, 0.6182, 0.1396)
O (0.1629, 0.9891, 0.7775)
O (0.6629, 0.7775, 0.9891)
O (0.3371, 0.2225, 0.0109)
O (0.0557, 0.6846, 0.6249)
O (0.4127, 0.8604, 0.3818)
O (0.9443, 0.3154, 0.3751)
O (0.9127, 0.3818, 0.8604)
O (0.8371, 0.0109, 0.2225)
O (0.5557, 0.6249, 0.6846)
O (0.4443, 0.3751, 0.3154)
O (0.5873, 0.1396, 0.6182)
Ge (0.7035, 0.2069, 0.3800)
Ge (0.2035, 0.3800, 0.2069)
Ge (0.7965, 0.6200, 0.7931)
Ge (0.2965, 0.7931, 0.6200)
Cu (0.2500, 0.2506, 0.7494)
Cu (0.7500, 0.7494, 0.2506)
Hg (0.7500, 0.1093, 0.8907)
Hg (0.2500, 0.8907, 0.1093)


La3Tb3In2 | GGA-PBE | optimized geometry

Properties
Density ... 7077 kg/m³
ΔE to the lowest computed polymorph ... 0.0355 eV per atom
Space-group type ... Cmcm, No. 63
Magnetic moment ... 0.0000 μB per atom

abc: 5.2092 6.5466 16.8464
angles: 90.00 90.00 113.44
Fractional positions:
Tb (0.5589, 0.1179, 0.7500)
Tb (0.3638, 0.7276, 0.9573)
Tb (0.6362, 0.2724, 0.4573)
Tb (0.6362, 0.2724, 0.0427)
Tb (0.3638, 0.7276, 0.5427)
Tb (0.4411, 0.8821, 0.2500)
La (0.7194, 0.4389, 0.2500)
La (0.0458, 0.0915, 0.8954)
La (0.2806, 0.5611, 0.7500)
La (0.0458, 0.0915, 0.6046)
La (0.9542, 0.9085, 0.1046)
La (0.9542, 0.9085, 0.3954)
In (0.7583, 0.5166, 0.6247)
In (0.7583, 0.5166, 0.8753)
In (0.2417, 0.4834, 0.3753)
In (0.2417, 0.4834, 0.1247)


Ac3NdIn3 | GGA-PBE | optimized geometry

Properties
Density ... 7620 kg/m³
Final energy ... -54.79 eV per cell
Space-group type ... Cmmm, No. 65
Magnetic moment ... 0.0165 μB per atom

abc: 8.0795 8.0795 7.8157
angles: 90.00 90.00 87.69
Fractional positions:
Ac (0.2439, 0.7561, 0.5000)
Ac (0.2840, 0.7160, 0.0000)
Ac (0.7447, 0.7447, 0.5000)
Ac (0.2553, 0.2553, 0.5000)
Ac (0.7160, 0.2840, 0.0000)
Ac (0.7561, 0.2439, 0.5000)
In (0.0000, 0.0000, 0.2274)
In (0.0000, 0.5000, 0.7668)
In (0.5000, 0.0000, 0.2332)
In (0.0000, 0.0000, 0.7726)
In (0.0000, 0.5000, 0.2332)
In (0.5000, 0.0000, 0.7668)
Nd (0.2358, 0.2358, 0.0000)
Nd (0.7642, 0.7642, 0.0000)


K3NaI4 | GGA-PBE | optimized geometry

Properties
Density ... 3125 kg/m³
Space-group type ... P2/c, No. 13
Formation energy (no corrections) ... -1.417 eV/atom
Magnetic moment ... 0.0000 μB per atom

abc: 8.5563 8.6034 9.9209
angles: 90.00 90.00 109.49
Fractional positions:
I (0.9973, 0.7685, 0.8850)
I (0.5027, 0.2315, 0.8850)
I (0.4899, 0.2431, 0.3659)
I (0.0027, 0.2315, 0.1150)
I (0.4973, 0.7685, 0.1150)
I (0.0101, 0.7569, 0.3659)
I (0.9899, 0.2431, 0.6341)
I (0.5101, 0.7569, 0.6341)
K (0.7500, 0.0000, 0.3729)
K (0.7500, 0.5000, 0.1241)
K (0.2500, 0.5000, 0.3720)
K (0.7500, 0.5000, 0.6280)
K (0.2500, 0.5000, 0.8759)
K (0.2500, 0.0000, 0.6271)
Na (0.7500, 0.0000, 0.8787)
Na (0.2500, 0.0000, 0.1213)


MnSn3Cl8 | GGA-PBE | optimized geometry

Properties
Density ... 2959 kg/m³
Space-group type ... C222, No. 21
Formation energy (no corrections) ... -1.001 eV/atom
Magnetic moment ... 0.4164 μB per atom

abc: 7.2583 7.2583 8.0963
angles: 90.00 90.00 113.92
Fractional positions:
Cl (0.7359, 0.2641, 0.0000)
Cl (0.7140, 0.7427, 0.7241)
Cl (0.2860, 0.2573, 0.7241)
Cl (0.2641, 0.7359, 0.0000)
Cl (0.7104, 0.2896, 0.5000)
Cl (0.2896, 0.7104, 0.5000)
Cl (0.7427, 0.7140, 0.2759)
Cl (0.2573, 0.2860, 0.2759)
Sn (0.0000, 0.5000, 0.2570)
Sn (0.5000, 0.5000, 0.0000)
Sn (0.5000, 0.0000, 0.7430)
Mn (0.5000, 0.5000, 0.5000)